Entry from the Alexandria database: a PBEsol-optimized structure of Re2TcIr (meta-GGA SCAN).

```
Re2TcIr
1.0
2.723 0.000 0.000
0.000 2.723 0.000
0.000 0.000 7.731
Re Tc Ir
2 1 1
direct
0.000 0.000 0.000
0.500 0.500 0.256
0.000 0.000 0.499
0.500 0.500 0.754
```

Summary:
Spin magnetization (μB/atom): 0.000
Total DFT energy (no corrections) (Ry/atom): -4.56961
DOS(E_F) (states/eV/f.u.): 3.1
Polymorph energy (0 for the lowest one) (meV/atom): 14


Entry from the Alexandria database: a PBEsol-optimized structure of ReTcIr2 (meta-GGA SCAN).

```
ReTcIr2
1.0
2.713 0.000 0.000
0.000 2.713 0.000
0.000 0.000 7.739
Re Tc Ir
1 1 2
direct
0.000 0.000 0.000
0.500 0.500 0.265
0.000 0.000 0.497
0.500 0.500 0.764
```

Summary:
Spin magnetization (μB/atom): 0.000
Total DFT energy (no corrections) (Ry/atom): -4.57441
DOS(E_F) (states/eV/f.u.): 3.1
Polymorph energy (0 for the lowest one) (meV/atom): 228


Entry from the Alexandria database: a PBEsol-optimized structure of ReTcIr2 (meta-GGA SCAN).

```
ReTcIr2
1.0
2.713 0.000 0.000
0.000 4.342 0.000
0.000 0.000 4.771
Re Tc Ir
1 1 2
direct
0.000 0.000 0.000
0.000 0.500 0.672
0.500 0.000 0.507
0.500 0.500 0.172
```

Summary:
Spin magnetization (μB/atom): 0.000
Total DFT energy (no corrections) (Ry/atom): -4.59119
DOS(E_F) (states/eV/f.u.): 1.9
Polymorph energy (0 for the lowest one) (meV/atom): 0


Entry from the Alexandria database: a PBEsol-optimized structure of ReTcIr2 (meta-GGA SCAN).

```
ReTcIr2
1.0
1.356 0.783 8.890
-1.356 0.783 8.890
0.000 -1.566 8.890
Re Tc Ir
1 1 2
direct
0.000 0.000 0.000
0.250 0.250 0.250
0.502 0.502 0.502
0.749 0.749 0.749
```

Summary:
Spin magnetization (μB/atom): 0.000
Total DFT energy (no corrections) (Ry/atom): -4.56968
DOS(E_F) (states/eV/f.u.): 3.1
Polymorph energy (0 for the lowest one) (meV/atom): 293


Entry from the Alexandria database: a PBEsol-optimized structure of Re2TeIr (meta-GGA SCAN).

```
Re2TeIr
1.0
2.863 0.000 0.000
0.000 4.114 0.000
-1.225 0.000 5.513
Re Te Ir
2 1 1
direct
0.106 0.000 0.225
0.894 0.000 0.775
0.500 0.500 0.500
0.500 0.500 0.000
```

Summary:
Spin magnetization (μB/atom): 0.000
Formation energy from raw total energies (eV per atom): 0.687
Total DFT energy (no corrections) (Ry/atom): -4.55317
DOS(E_F) (states/eV/f.u.): 3.5


Entry from the Alexandria database: a PBEsol-optimized structure of ReTeIr2 (meta-GGA SCAN).

```
ReTeIr2
1.0
-1.458 2.347 4.640
1.458 -2.347 4.640
1.458 2.347 -4.640
Re Te Ir
1 1 2
direct
0.000 0.000 0.000
0.500 0.500 0.000
0.254 0.754 0.500
0.746 0.246 0.500
```

Summary:
Spin magnetization (μB/atom): 0.000
Formation energy from raw total energies (eV per atom): 0.713
Total DFT energy (no corrections) (Ry/atom): -4.55134
DOS(E_F) (states/eV/f.u.): 3.8


Entry from the Alexandria database: a PBEsol-optimized structure of ReTeIr (meta-GGA SCAN).

```
ReTeIr
1.0
0.000 3.074 3.074
3.074 0.000 3.074
3.074 3.074 0.000
Re Te Ir
1 1 1
direct
0.000 0.000 0.000
0.500 0.500 0.500
0.250 0.250 0.250
```

Summary:
Spin magnetization (μB/atom): 0.444
Formation energy from raw total energies (eV per atom): 0.822
Total DFT energy (no corrections) (Ry/atom): -4.33600
DOS(E_F) (states/eV/f.u.): 3.2


Entry from the Alexandria database: a PBEsol-optimized structure of Re2TeIr (meta-GGA SCAN).

```
Re2TeIr
1.0
1.463 0.845 8.571
-1.463 0.845 8.571
0.000 -1.689 8.571
Re Te Ir
2 1 1
direct
0.249 0.249 0.249
0.751 0.751 0.751
0.000 0.000 0.000
0.500 0.500 0.500
```

Summary:
Spin magnetization (μB/atom): 0.000
Formation energy from raw total energies (eV per atom): 0.677
Total DFT energy (no corrections) (Ry/atom): -4.55390
DOS(E_F) (states/eV/f.u.): 3.2


Look up the spin magnetization of the eighth one.
0.000 μB/atom


Look up the spin magnetization of the seventh one.
0.444 μB/atom